Computed, not measured: a geometry-optimized CdMoRh4 structure at the PBE level of DFT.

The structure belongs to space group F-43m (No. 216); the cell edges are 7.249, 7.249 and 7.249 Å and the angles 90.00°, 90.00° and 90.00°. The distinct sites, in fractional coordinates, are Cd at (0.000, 0.000, 0.000), Mo at (0.250, 0.250, 0.750) and Rh at (0.125, 0.125, 0.375).

The magnetic moment is 0.00 μB/f.u. The value obtained for the energy of formation from the pure elements is 162 meV/atom.



Computed, not measured: a geometry-optimized Rb2Cu2TeSe6 structure at the PBE level of DFT.

The structure belongs to space group C2/m (No. 12); the cell edges are 10.950, 7.946 and 8.931 Å and the angles 90.00°, 110.28° and 90.00°. The distinct sites, in fractional coordinates, are Rb at (0.202, 0.000, 0.129), Cu at (0.060, 0.500, 0.309), Te at (0.000, 0.000, 0.500), Se at (0.021, 0.231, 0.748) and Se at (0.247, 0.000, 0.743).

The calculation puts the uncorrected formation energy at -286 kJ/mol of formula units. The magnetic moment is 0.00 μB/f.u.